First-principles (PBE) data for a relaxed structure of Te3NCl, as listed in Alexandria via LeMat-Bulk.

Computed properties:
ρ ... 6.382 g cm⁻³
Formation energy without anion corrections ... 0.762 eV per atom
Crystal system ... cubic

abc: 4.827 4.827 4.827
angles: 90.00 90.00 90.00
Positions (direct):
Te 0.000 0.000 0.500
Te 0.000 0.500 0.000
Te 0.500 0.000 0.000
N 0.000 0.000 0.000
Cl 0.500 0.500 0.500

***

First-principles (PBE) data for a relaxed structure of TeN2Cl3, as listed in Alexandria via LeMat-Bulk.

Computed properties:
ρ ... 2.109 g cm⁻³
Formation energy without anion corrections ... 1.435 eV per atom
Crystal system ... monoclinic

abc: 9.413 9.413 8.648
angles: 92.07 92.07 32.60
Positions (direct):
Te 0.000 0.000 0.000
Te 0.000 0.000 0.500
N 0.303 0.303 0.889
N 0.306 0.306 0.381
N 0.697 0.697 0.114
N 0.697 0.697 0.620
Cl 0.084 0.084 0.267
Cl 0.112 0.112 0.842
Cl 0.500 0.500 0.000
Cl 0.501 0.501 0.502
Cl 0.888 0.888 0.158
Cl 0.916 0.916 0.732

***

First-principles (PBE) data for a relaxed structure of Te2N2Cl, as listed in Alexandria via LeMat-Bulk.

Computed properties:
ρ ... 3.879 g cm⁻³
Formation energy without anion corrections ... 2.297 eV per atom
Crystal system ... tetragonal

abc: 6.487 6.487 3.242
angles: 90.00 90.00 90.00
Positions (direct):
Te 0.000 0.500 0.000
Te 0.500 0.000 0.000
N 0.000 0.000 0.500
N 0.500 0.500 0.500
Cl 0.000 0.000 0.000